(1)
Here is an optimized crystal structure of LiHo4Pd7 from Alexandria. Energies are from PBE.

It has space group C2/m (No. 12), with a = 10.842 Å, b = 5.070 Å, c = 10.336 Å, α = 90.00°, β = 119.76° and γ = 90.00°. The distinct sites, in fractional coordinates, are Li at (0.000, 0.000, 0.000), Ho at (0.093, 0.500, 0.787), Ho at (0.218, 0.000, 0.640), Pd at (0.000, 0.500, 0.000), Pd at (0.078, 0.000, 0.311), Pd at (0.131, 0.500, 0.520) and Pd at (0.210, 0.000, 0.906).

The value obtained for the energy relative to the elements is -0.674 eV/atom.

=====

(2)
Here is an optimized crystal structure of RbV from Alexandria. Energies are from PBE.

It has space group Fm-3m (No. 225), with a = 7.399 Å, b = 7.399 Å, c = 7.399 Å, α = 90.00°, β = 90.00° and γ = 90.00°. The distinct sites, in fractional coordinates, are Rb at (0.000, 0.000, 0.000) and V at (0.000, 0.000, 0.500).

The value obtained for the energy relative to the elements is 2.001 eV/atom.

=====

(3)
Here is an optimized crystal structure of TcAgW from Alexandria. Energies are from PBE.

It has space group Ama2 (No. 40), with a = 4.499 Å, b = 4.848 Å, c = 8.836 Å, α = 90.00°, β = 90.00° and γ = 90.00°. The distinct sites, in fractional coordinates, are Tc at (0.250, 0.166, 0.000), Ag at (0.250, 0.173, 0.322) and W at (0.250, 0.169, 0.639).

The value obtained for the energy relative to the elements is 0.461 eV/atom.

=====

(4)
Here is an optimized crystal structure of GdUTe2 from Alexandria. Energies are from PBE.

It has space group R-3m (No. 166, hexagonal axes), with a = 4.0593 Å, b = 4.0593 Å, c = 30.3355 Å, α = 90.00°, β = 90.00° and γ = 120.00°. The distinct sites, in fractional coordinates, are Gd at (0.0000, 0.0000, 0.0000), U at (0.0000, 0.0000, 0.5000) and Te at (0.0000, 0.0000, 0.1008).

For the uncorrected formation energy, the calculation gives -0.42 eV per atom.

=====

(5)
Here is an optimized crystal structure of Ca2FeRe from Alexandria. Energies are from PBE.

It has space group P4/mmm (No. 123), with a = 2.834 Å, b = 2.834 Å, c = 9.694 Å, α = 90.00°, β = 90.00° and γ = 90.00°. The distinct sites, in fractional coordinates, are Ca at (0.000, 0.000, 0.243), Fe at (0.500, 0.500, 0.000) and Re at (0.500, 0.500, 0.500).

The value obtained for the energy relative to the elements is 0.828 eV/atom.

=====

(6)
Here is an optimized crystal structure of Ac3DyEr from Alexandria. Energies are from PBE.

It has space group Pnna (No. 52), with a = 6.498 Å, b = 9.370 Å, c = 13.236 Å, α = 90.00°, β = 90.00° and γ = 90.00°. The distinct sites, in fractional coordinates, are Ac at (0.089, 0.173, 0.074), Ac at (0.141, 0.250, 0.750), Dy at (0.250, 0.000, 0.556) and Er at (0.250, 0.000, 0.306).

The value obtained for the energy relative to the elements is 0.188 eV/atom.

=====

(7)
Here is an optimized crystal structure of TbDy2TmSc4 from Alexandria. Energies are from PBE.

It has space group P4/mmm (No. 123), with a = 4.869 Å, b = 4.869 Å, c = 9.343 Å, α = 90.00°, β = 90.00° and γ = 90.00°. The distinct sites, in fractional coordinates, are Tb at (0.000, 0.000, 0.000), Dy at (0.000, 0.000, 0.500), Dy at (0.500, 0.500, 0.000), Tm at (0.500, 0.500, 0.500) and Sc at (0.000, 0.500, 0.251).

The value obtained for the energy relative to the elements is 0.052 eV/atom.

=====

(8)
Here is an optimized crystal structure of CsCa from Alexandria. Energies are from PBE.

It has space group P4_2/mnm (No. 136), with a = 8.568 Å, b = 8.568 Å, c = 8.660 Å, α = 90.00°, β = 90.00° and γ = 90.00°. The distinct sites, in fractional coordinates, are Cs at (0.180, 0.180, 0.000) and Ca at (0.160, 0.160, 0.500).

The value obtained for the energy relative to the elements is 0.484 eV/atom.

=====

(9)
Here is an optimized crystal structure of Zr2AsOs from Alexandria. Energies are from PBE.

It has space group F-43m (No. 216), with a = 6.611 Å, b = 6.611 Å, c = 6.611 Å, α = 90.00°, β = 90.00° and γ = 90.00°. The distinct sites, in fractional coordinates, are Zr at (0.000, 0.000, 0.000), Zr at (0.250, 0.250, 0.250), As at (0.000, 0.000, 0.500) and Os at (0.250, 0.250, 0.750).

The value obtained for the energy relative to the elements is -0.026 eV/atom.

=====

(10)
Here is an optimized crystal structure of Ho2SnPd from Alexandria. Energies are from PBE.

It has space group R-3m (No. 166, hexagonal axes), with a = 3.8345 Å, b = 3.8345 Å, c = 24.7683 Å, α = 90.00°, β = 90.00° and γ = 120.00°. The distinct sites, in fractional coordinates, are Ho at (0.0000, 0.0000, 0.2381), Sn at (0.0000, 0.0000, 0.0000) and Pd at (0.0000, 0.0000, 0.5000).

The value obtained for the energy relative to the elements is -0.599 eV/atom.

=====

(11)
Here is an optimized crystal structure of AcEuLu2 from Alexandria. Energies are from PBE.

It has space group Fm-3m (No. 225), with a = 8.297 Å, b = 8.297 Å, c = 8.297 Å, α = 90.00°, β = 90.00° and γ = 90.00°. The distinct sites, in fractional coordinates, are Ac at (0.000, 0.000, 0.000), Eu at (0.000, 0.000, 0.500) and Lu at (0.250, 0.250, 0.250).

The value obtained for the energy relative to the elements is 0.141 eV/atom.

=====

(12)
Here is an optimized crystal structure of Be3Cu2 from Alexandria. Energies are from PBE.

It has space group P-3m1 (No. 164), with a = 3.7076 Å, b = 3.7076 Å, c = 4.5495 Å, α = 90.00°, β = 90.00° and γ = 120.00°. The distinct sites, in fractional coordinates, are Be at (0.0000, 0.0000, 0.0000), Be at (0.3333, 0.6667, 0.3617) and Cu at (0.3333, 0.6667, 0.8524).

The value obtained for the energy relative to the elements is 0.145 eV/atom.

=====

(13)
Here is an optimized crystal structure of RbZr3Nb from Alexandria. Energies are from PBE.

It has space group Pm-3m (No. 221), with a = 5.339 Å, b = 5.339 Å, c = 5.339 Å, α = 90.00°, β = 90.00° and γ = 90.00°. The distinct sites, in fractional coordinates, are Rb at (0.000, 0.000, 0.000), Zr at (0.000, 0.500, 0.500) and Nb at (0.500, 0.500, 0.500).

The value obtained for the energy relative to the elements is 1.029 eV/atom.

=====

(14)
Here is an optimized crystal structure of Cs2TeH2 from Alexandria. Energies are from PBE.

It has space group C2/c (No. 15), with a = 11.056 Å, b = 6.282 Å, c = 10.944 Å, α = 90.00°, β = 110.81° and γ = 90.00°. The distinct sites, in fractional coordinates, are Cs at (0.126, 0.234, 0.127), Te at (0.000, 0.271, 0.750) and H at (0.226, 0.294, 0.484).

The total energy is -58.97 eV for the cell shown.

=====

(15)
Here is an optimized crystal structure of Cu6NiPd from Alexandria. Energies are from PBE.

It has space group P4/mmm (No. 123), with a = 3.662 Å, b = 3.662 Å, c = 7.293 Å, α = 90.00°, β = 90.00° and γ = 90.00°. The distinct sites, in fractional coordinates, are Cu at (0.000, 0.000, 0.000), Cu at (0.000, 0.000, 0.500), Cu at (0.000, 0.500, 0.240), Ni at (0.500, 0.500, 0.000) and Pd at (0.500, 0.500, 0.500).

The value obtained for the energy relative to the elements is -0.043 eV/atom.

=====

(16)
Here is an optimized crystal structure of Sm3Dy6Tm2Pu from Alexandria. Energies are from PBE.

It has space group C2/m (No. 12), with a = 6.135 Å, b = 10.627 Å, c = 11.708 Å, α = 90.00°, β = 100.09° and γ = 90.00°. The distinct sites, in fractional coordinates, are Sm at (0.000, 0.000, 0.000), Sm at (0.000, 0.333, 0.000), Dy at (0.246, 0.335, 0.745), Dy at (0.248, 0.500, 0.255), Tm at (0.000, 0.167, 0.500) and Pu at (0.000, 0.500, 0.500).

The value obtained for the energy relative to the elements is 0.044 eV/atom.

=====

(17)
Here is an optimized crystal structure of MgCu2Pd5Au2 from Alexandria. Energies are from PBE.

It has space group P4/mbm (No. 127), with a = 8.880 Å, b = 8.880 Å, c = 4.065 Å, α = 90.00°, β = 90.00° and γ = 90.00°. The distinct sites, in fractional coordinates, are Mg at (0.000, 0.000, 0.000), Cu at (0.121, 0.379, 0.000), Pd at (0.000, 0.500, 0.500), Pd at (0.079, 0.200, 0.500) and Au at (0.173, 0.673, 0.000).

The value obtained for the energy relative to the elements is -0.143 eV/atom.

=====

(18)
Here is an optimized crystal structure of NdPuCdPd from Alexandria. Energies are from PBE.

It has space group F-43m (No. 216), with a = 7.406 Å, b = 7.406 Å, c = 7.406 Å, α = 90.00°, β = 90.00° and γ = 90.00°. The distinct sites, in fractional coordinates, are Nd at (0.000, 0.000, 0.000), Pu at (0.000, 0.000, 0.500), Cd at (0.250, 0.250, 0.250) and Pd at (0.250, 0.250, 0.750).

The value obtained for the energy relative to the elements is -0.263 eV/atom.

=====

(19)
Here is an optimized crystal structure of CaTbNi10 from Alexandria. Energies are from PBE.

It has space group Pmmm (No. 47), with a = 3.949 Å, b = 4.911 Å, c = 8.488 Å, α = 90.00°, β = 90.00° and γ = 90.00°. The distinct sites, in fractional coordinates, are Ca at (0.000, 0.000, 0.000), Tb at (0.000, 0.500, 0.500), Ni at (0.000, 0.000, 0.335), Ni at (0.000, 0.500, 0.168), Ni at (0.500, 0.000, 0.500), Ni at (0.500, 0.252, 0.253) and Ni at (0.500, 0.500, 0.000).

The value obtained for the energy relative to the elements is -0.217 eV/atom.

=====

(20)
Here is an optimized crystal structure of In2HgPdBr from Alexandria. Energies are from PBE.

It has space group P4/mmm (No. 123), with a = 6.029 Å, b = 6.029 Å, c = 4.779 Å, α = 90.00°, β = 90.00° and γ = 90.00°. The distinct sites, in fractional coordinates, are In at (0.000, 0.500, 0.000), Hg at (0.000, 0.000, 0.500), Pd at (0.500, 0.500, 0.500) and Br at (0.500, 0.500, 0.000).

For the uncorrected formation energy, the calculation gives 0.24 eV per atom.

=====

(21)
Here is an optimized crystal structure of Pm2EuCd from Alexandria. Energies are from PBE.

It has space group R-3m (No. 166, hexagonal axes), with a = 3.5543 Å, b = 3.5543 Å, c = 38.1015 Å, α = 90.00°, β = 90.00° and γ = 120.00°. The distinct sites, in fractional coordinates, are Pm at (0.0000, 0.0000, 0.0862), Eu at (0.0000, 0.0000, 0.5000) and Cd at (0.0000, 0.0000, 0.0000).

The value obtained for the energy relative to the elements is 0.226 eV/atom.

=====

(22)
Here is an optimized crystal structure of DyPuPa2Sb4 from Alexandria. Energies are from PBE.

It has space group I-4m2 (No. 119), with a = 6.202 Å, b = 6.202 Å, c = 12.408 Å, α = 90.00°, β = 90.00° and γ = 90.00°. The distinct sites, in fractional coordinates, are Dy at (0.000, 0.000, 0.000), Pu at (0.000, 0.500, 0.750), Pa at (0.000, 0.000, 0.500), Pa at (0.000, 0.500, 0.250), Sb at (0.000, 0.000, 0.251) and Sb at (0.000, 0.500, 0.001).

For the uncorrected formation energy, the calculation gives -0.66 eV per atom.

=====

(23)
Here is an optimized crystal structure of V2CrRe2 from Alexandria. Energies are from PBE.

It has space group I4_1/amd (No. 141, origin choice 2), with a = 4.209 Å, b = 4.209 Å, c = 17.086 Å, α = 90.00°, β = 90.00° and γ = 90.00°. The distinct sites, in fractional coordinates, are V at (0.000, 0.250, 0.047), Cr at (0.000, 0.250, 0.875) and Re at (0.000, 0.250, 0.208).

The value obtained for the energy relative to the elements is 0.253 eV/atom.

=====

(24)
Here is an optimized crystal structure of AgTeBr2 from Alexandria. Energies are from PBE.

It has space group R-3m (No. 166, hexagonal axes), with a = 3.9925 Å, b = 3.9925 Å, c = 26.5830 Å, α = 90.00°, β = 90.00° and γ = 120.00°. The distinct sites, in fractional coordinates, are Ag at (0.0000, 0.0000, 0.0000), Te at (0.0000, 0.0000, 0.5000) and Br at (0.0000, 0.0000, 0.3961).

For the uncorrected formation energy, the calculation gives -0.11 eV per atom.

=====

(25)
Here is an optimized crystal structure of TaTe2O from Alexandria. Energies are from PBE.

It has space group R-3m (No. 166, hexagonal axes), with a = 3.7659 Å, b = 3.7659 Å, c = 22.9865 Å, α = 90.00°, β = 90.00° and γ = 120.00°. The distinct sites, in fractional coordinates, are Ta at (0.0000, 0.0000, 0.0000), Te at (0.0000, 0.0000, 0.4103) and O at (0.0000, 0.0000, 0.5000).

For the uncorrected formation energy, the calculation gives -0.17 eV per atom.

=====

no.,DOS(E_F) (states/eV/cell)
1,9.8
2,30.8
3,7.7
4,25.4
5,5.3
6,29.4
7,14.0
8,11.3
9,15.7
10,8.0
11,23.3
12,1.5
13,8.6
14,0.0
15,3.1
16,46.9
17,12.6
18,43.3
19,15.6
20,1.9
21,17.2
22,39.1
23,21.5
24,6.2
25,7.0